# 1
# HfFeP3

Crystalline HfFeP3 at its relaxed geometry (PBE, the Alexandria database).

Cell lengths 4.9276, 4.9276, 4.9276 Å; angles 90.00, 90.00, 90.00 degrees
Last column: nearest neighbours and their distance in Å.
Fractional positions:
Hf: 0.0000 0.0000 0.0000  6 P 2.46
Fe: 0.5000 0.5000 0.5000  12 P 3.48
P: 0.0000 0.0000 0.5000  2 Hf 2.46
P: 0.0000 0.5000 0.0000  2 Hf 2.46
P: 0.5000 0.0000 0.0000  2 Hf 2.46

formation energy from the elements: 4.112 eV/f.u.
V: 119.6 Å³/cell
ρ: 4.5 Mg/m³

=====

# 2
# Hf2Fe12P7

Crystalline Hf2Fe12P7 at its relaxed geometry (PBE, the Alexandria database).

Cell lengths 8.8413, 8.8413, 3.5743 Å; angles 90.00, 90.00, 120.00 degrees
Last column: nearest neighbours and their distance in Å.
Fractional positions:
Hf: 0.0000 0.0000 0.0000  6 P 2.79, 9 Fe 2.90-2.99
Hf: 0.3333 0.6667 0.5000  6 P 2.75, 9 Fe 2.88-3.06
Fe: 0.0524 0.7717 0.5000  4 P 2.18-2.26
Fe: 0.0982 0.3953 0.0000  4 P 2.17-2.30
Fe: 0.2283 0.2807 0.5000  4 P 2.18-2.26
Fe: 0.2971 0.9018 0.0000  4 P 2.17-2.30
Fe: 0.3900 0.2132 0.0000  4 P 2.12-2.24
Fe: 0.5446 0.1126 0.5000  5 P 2.27-2.49
Fe: 0.5680 0.4554 0.5000  5 P 2.27-2.49
Fe: 0.6047 0.7029 0.0000  4 P 2.17-2.30
Fe: 0.7193 0.9476 0.5000  4 P 2.18-2.26
Fe: 0.7868 0.1768 0.0000  4 P 2.12-2.24
Fe: 0.8232 0.6100 0.0000  4 P 2.12-2.24
Fe: 0.8874 0.4320 0.5000  5 P 2.27-2.49
P: 0.0806 0.6312 0.0000  5 Fe 2.17-2.26
P: 0.2610 0.0445 0.5000  7 Fe 2.18-2.30
P: 0.3688 0.4495 0.0000  5 Fe 2.17-2.26
P: 0.5505 0.9194 0.0000  5 Fe 2.17-2.26
P: 0.6667 0.3333 0.0000  3 Fe 2.12
P: 0.7836 0.7390 0.5000  7 Fe 2.18-2.30
P: 0.9555 0.2164 0.5000  7 Fe 2.18-2.30

formation energy from the elements: -15.207 eV/f.u.
V: 242.0 Å³/cell
ρ: 8.5 Mg/m³

=====

# 3
# HfFe3P

Crystalline HfFe3P at its relaxed geometry (PBE, the Alexandria database).

Cell lengths 4.5747, 4.5747, 4.5747 Å; angles 90.00, 90.00, 90.00 degrees
Last column: nearest neighbours and their distance in Å.
Fractional positions:
Hf: 0.0000 0.0000 0.0000  6 Fe 2.29
Fe: 0.0000 0.0000 0.5000  2 Hf 2.29
Fe: 0.0000 0.5000 0.0000  2 Hf 2.29
Fe: 0.5000 0.0000 0.0000  2 Hf 2.29
P: 0.5000 0.5000 0.5000  12 Fe 3.23

formation energy from the elements: 8.512 eV/f.u.
V: 95.7 Å³/cell
ρ: 6.5 Mg/m³

=====

# 4
# HfFeP3

Crystalline HfFeP3 at its relaxed geometry (PBE, the Alexandria database).

Cell lengths 4.3849, 4.3849, 4.3849 Å; angles 90.00, 90.00, 90.00 degrees
Last column: nearest neighbours and their distance in Å.
Fractional positions:
Hf: 0.0000 0.0000 0.0000  12 P 3.10
Fe: 0.5000 0.5000 0.5000  6 P 2.19
P: 0.0000 0.5000 0.5000  2 Fe 2.19
P: 0.5000 0.0000 0.5000  2 Fe 2.19
P: 0.5000 0.5000 0.0000  2 Fe 2.19

formation energy from the elements: 1.494 eV/f.u.
V: 84.3 Å³/cell
ρ: 6.4 Mg/m³

=====

# 5
# HfFe5P3

Crystalline HfFe5P3 at its relaxed geometry (PBE, the Alexandria database).

Cell lengths 5.9361, 5.9361, 11.1076 Å; angles 90.00, 90.00, 145.51 degrees
Last column: nearest neighbours and their distance in Å.
Fractional positions:
Hf: 0.1606 0.8394 0.7500  7 P 2.93-3.23, 8 Fe 3.08-3.15
Hf: 0.8394 0.1606 0.2500  7 P 2.93-3.23, 8 Fe 3.08-3.15
Fe: 0.0000 0.0000 0.0000  4 P 2.26, 6 Fe 2.40-2.48
Fe: 0.0000 0.0000 0.5000  4 P 2.26, 6 Fe 2.40-2.48
Fe: 0.1995 0.8005 0.0734  2 P 2.10-2.14
Fe: 0.1995 0.8005 0.4266  2 P 2.10-2.14
Fe: 0.4517 0.5483 0.6499  3 Fe 2.22-2.48, 4 P 2.23-2.29
Fe: 0.4517 0.5483 0.8501  3 Fe 2.22-2.48, 4 P 2.23-2.29
Fe: 0.5483 0.4517 0.1499  3 Fe 2.22-2.48, 4 P 2.23-2.29
Fe: 0.5483 0.4517 0.3501  3 Fe 2.22-2.48, 4 P 2.23-2.29
Fe: 0.8005 0.1995 0.5734  2 P 2.10-2.14
Fe: 0.8005 0.1995 0.9266  2 P 2.10-2.14
P: 0.1240 0.8760 0.2500  6 Fe 2.14-2.25
P: 0.3820 0.6180 0.0432  5 Fe 2.10-2.29
P: 0.3820 0.6180 0.4568  5 Fe 2.10-2.29
P: 0.6180 0.3820 0.5432  5 Fe 2.10-2.29
P: 0.6180 0.3820 0.9568  5 Fe 2.10-2.29
P: 0.8760 0.1240 0.7500  6 Fe 2.14-2.25

formation energy from the elements: -4.519 eV/f.u.
V: 221.6 Å³/cell
ρ: 8.3 Mg/m³

=====

# 6
# Hf2Fe2P

Crystalline Hf2Fe2P at its relaxed geometry (PBE, the Alexandria database).

Cell lengths 5.8150, 5.8150, 4.3706 Å; angles 90.00, 90.00, 90.00 degrees
Last column: nearest neighbours and their distance in Å.
Fractional positions:
Hf: 0.1799 0.3201 0.0000  6 Fe 2.64-2.88, 1 Hf 2.96
Hf: 0.3201 0.8201 0.0000  6 Fe 2.64-2.88, 1 Hf 2.96
Hf: 0.6799 0.1799 0.0000  6 Fe 2.64-2.88, 1 Hf 2.96
Hf: 0.8201 0.6799 0.0000  6 Fe 2.64-2.88, 1 Hf 2.96
Fe: 0.1395 0.6395 0.5000  2 P 2.25, 1 Fe 2.29
Fe: 0.3605 0.1395 0.5000  2 P 2.25, 1 Fe 2.29
Fe: 0.6395 0.8605 0.5000  2 P 2.25, 1 Fe 2.29
Fe: 0.8605 0.3605 0.5000  2 P 2.25, 1 Fe 2.29
P: 0.0000 0.0000 0.5000  4 Fe 2.25
P: 0.5000 0.5000 0.5000  4 Fe 2.25

formation energy from the elements: -2.043 eV/f.u.
V: 147.8 Å³/cell
ρ: 11.2 Mg/m³

=====

Number 5 is which compound? HfFe5P3